Compound: BeHBr2
Source: the Alexandria database
Functional: GGA-PBE
Structure: optimized geometry

Values from the calculation:
Energy above the lowest structure with this stoichiometry = 209 meV per atom

Cell lengths 3.5092, 3.5092, 30.5456 Å; angles 90.00, 90.00, 120.00 degrees
With the nearest neighbours (Å) after each atom.
Space group R-3m (No. 166, hexagonal axes)
Asymmetric unit:
1 Be 0.0000 0.0000 0.0000 x3  6 Br 2.45
2 H 0.0000 0.0000 0.5000 x3  6 H 3.51, 2 Br 3.72
3 Br 0.0000 0.0000 0.3781 x6  3 Be 2.45